[1]
Density functional theory data (PBE) for an optimized crystal structure of Na2ErAgSb2.

The structure in CIF format:
```
data_Na2ErAgSb2
_chemical_formula_sum 'Na4 Er2 Ag2 Sb4'
_cell_length_a 4.512
_cell_length_b 9.144
_cell_length_c 7.576
_cell_angle_alpha 90.00
_cell_angle_beta 90.00
_cell_angle_gamma 90.00
_symmetry_space_group_name_H-M 'P m c 21'
_symmetry_Int_Tables_number 26
_symmetry_space_group_name_Hall 'P 2c -2'
loop_
_atom_site_label
_atom_site_type_symbol
_atom_site_fract_x
_atom_site_fract_y
_atom_site_fract_z
Na1 Na 0.000 0.067 0.000
Na2 Na 0.500 0.166 0.314
Er1 Er 0.500 0.448 0.925
Ag1 Ag 0.000 0.317 0.590
Sb1 Sb 0.000 0.384 0.209
Sb2 Sb 0.500 0.165 0.722
```

Calculated values
Fermi-level density of states: 1.0 states/eV/cell
Total DFT energy (no corrections): -3.620 eV/atom

=====

[2]
Density functional theory data (PBE) for an optimized crystal structure of NaErAgSb.

The structure in CIF format:
```
data_NaErAgSb
_chemical_formula_sum 'Na4 Er4 Ag4 Sb4'
_cell_length_a 7.305
_cell_length_b 7.305
_cell_length_c 7.305
_cell_angle_alpha 90.00
_cell_angle_beta 90.00
_cell_angle_gamma 90.00
_symmetry_space_group_name_H-M 'F -4 3 m'
_symmetry_Int_Tables_number 216
_symmetry_space_group_name_Hall 'F -4 2 3'
loop_
_atom_site_label
_atom_site_type_symbol
_atom_site_fract_x
_atom_site_fract_y
_atom_site_fract_z
Na1 Na 0.000 0.000 0.000
Er1 Er 0.000 0.000 0.500
Ag1 Ag 0.250 0.250 0.250
Sb1 Sb 0.250 0.250 0.750
```

Calculated values
Fermi-level density of states: 5.8 states/eV/cell
Total DFT energy (no corrections): -3.640 eV/atom

=====

[3]
Density functional theory data (PBE) for an optimized crystal structure of NaEr3Ag2Se6.

The structure in CIF format:
```
data_NaEr3Ag2Se6
_chemical_formula_sum 'Na2 Er6 Ag4 Se12'
_cell_length_a 17.909
_cell_length_b 4.120
_cell_length_c 8.182
_cell_angle_alpha 90.00
_cell_angle_beta 102.86
_cell_angle_gamma 90.00
_symmetry_space_group_name_H-M 'C 1 2/m 1'
_symmetry_Int_Tables_number 12
_symmetry_space_group_name_Hall '-C 2y'
loop_
_atom_site_label
_atom_site_type_symbol
_atom_site_fract_x
_atom_site_fract_y
_atom_site_fract_z
Na1 Na 0.000 0.000 0.000
Er1 Er 0.000 0.000 0.500
Er2 Er 0.170 0.500 0.824
Ag1 Ag 0.164 0.500 0.318
Se1 Se 0.005 0.500 0.741
Se2 Se 0.165 0.000 0.580
Se3 Se 0.169 0.000 0.070
```

Calculated values
Fermi-level density of states: 0.0 states/eV/cell
Total DFT energy (no corrections): -4.807 eV/atom

=====

[4]
Density functional theory data (PBE) for an optimized crystal structure of NaEr2AgSe4.

The structure in CIF format:
```
data_NaEr2AgSe4
_chemical_formula_sum 'Na1 Er2 Ag1 Se4'
_cell_length_a 7.110
_cell_length_b 4.113
_cell_length_c 7.208
_cell_angle_alpha 90.00
_cell_angle_beta 109.60
_cell_angle_gamma 90.00
_symmetry_space_group_name_H-M 'P 1 2/m 1'
_symmetry_Int_Tables_number 10
_symmetry_space_group_name_Hall '-P 2y'
loop_
_atom_site_label
_atom_site_type_symbol
_atom_site_fract_x
_atom_site_fract_y
_atom_site_fract_z
Na1 Na 0.000 0.000 0.000
Er1 Er 0.000 0.500 0.500
Er2 Er 0.500 0.000 0.500
Ag1 Ag 0.500 0.500 0.000
Se1 Se 0.249 0.000 0.737
Se2 Se 0.256 0.500 0.267
```

Calculated values
Fermi-level density of states: 0.0 states/eV/cell
Total DFT energy (no corrections): -4.832 eV/atom

=====

[5]
Density functional theory data (PBE) for an optimized crystal structure of NaErAgSn.

The structure in CIF format:
```
data_NaErAgSn
_chemical_formula_sum 'Na4 Er4 Ag4 Sn4'
_cell_length_a 7.270
_cell_length_b 7.270
_cell_length_c 7.270
_cell_angle_alpha 90.00
_cell_angle_beta 90.00
_cell_angle_gamma 90.00
_symmetry_space_group_name_H-M 'F -4 3 m'
_symmetry_Int_Tables_number 216
_symmetry_space_group_name_Hall 'F -4 2 3'
loop_
_atom_site_label
_atom_site_type_symbol
_atom_site_fract_x
_atom_site_fract_y
_atom_site_fract_z
Na1 Na 0.000 0.000 0.000
Er1 Er 0.000 0.000 0.500
Ag1 Ag 0.250 0.250 0.750
Sn1 Sn 0.250 0.250 0.250
```

Calculated values
Fermi-level density of states: 9.2 states/eV/cell
Total DFT energy (no corrections): -3.490 eV/atom
E_form: -0.306 eV/atom

=====

[6]
Density functional theory data (PBE) for an optimized crystal structure of NaEr3Ag2Te6.

The structure in CIF format:
```
data_NaEr3Ag2Te6
_chemical_formula_sum 'Na2 Er6 Ag4 Te12'
_cell_length_a 19.187
_cell_length_b 4.377
_cell_length_c 8.765
_cell_angle_alpha 90.00
_cell_angle_beta 103.67
_cell_angle_gamma 90.00
_symmetry_space_group_name_H-M 'C 1 2/m 1'
_symmetry_Int_Tables_number 12
_symmetry_space_group_name_Hall '-C 2y'
loop_
_atom_site_label
_atom_site_type_symbol
_atom_site_fract_x
_atom_site_fract_y
_atom_site_fract_z
Na1 Na 0.000 0.000 0.000
Er1 Er 0.000 0.000 0.500
Er2 Er 0.167 0.500 0.828
Ag1 Ag 0.165 0.500 0.323
Te1 Te 0.002 0.500 0.743
Te2 Te 0.166 0.000 0.579
Te3 Te 0.170 0.000 0.080
```

Calculated values
Total DFT energy (no corrections): -4.270 eV/atom